A relaxed CrIr2Br crystal. Source: Alexandria, functional PBE.

Cell: 4.649 4.649 2.921 Å, 90.00 90.00 90.00°
Atoms (fractional coordinates):
Br  0.500  0.000  0.500
Cr  0.000  0.500  0.500
Ir  0.000  0.000  0.000
Ir  0.500  0.500  0.000

Output
distance to the lowest polymorph of the same formula: 0.521 eV/atom
uncorrected formation energy: 930 meV per atom
total moment: 3.35 μB per formula unit
calculated total energy: -6.324 eV/atom
space-group type: P4/mmm

***

A relaxed LiHf2BW crystal. Source: Alexandria, functional PBE.

Cell: 4.631 4.156 4.631 Å, 90.00 90.00 90.00°
Atoms (fractional coordinates):
B  0.000  0.000  0.000
Hf  0.000  0.000  0.500
Hf  0.500  0.000  0.000
W  0.000  0.500  0.000
Li  0.500  0.500  0.500

Output
ΔE_f: 0.180 eV/atom
total moment: 0.00 μB per formula unit
calculated total energy: -8.111 eV/atom
space-group type: P4/mmm